Density functional theory data (GGA-PBE) for a relaxed structure of ZnAg2I4.

Output
- raw total energy (eV per atom) = -2.283
- space group = Pmn2_1

a b c (Å): 9.2413 7.7820 7.4389
angles (deg): 90.00 90.00 90.00
Last column: nearest neighbours and their distance in Å.
Element x y z (fractional)
Ag (0.2527, 0.1753, 0.1250)  4 I 2.86-2.87
Ag (0.7473, 0.1753, 0.1250)  4 I 2.86-2.87
Ag (0.2473, 0.8247, 0.6250)  4 I 2.86-2.87
Ag (0.7527, 0.8247, 0.6250)  4 I 2.86-2.87
I (0.2579, 0.8228, 0.0108)  1 Zn 2.65, 2 Ag 2.87
I (0.7422, 0.8228, 0.0108)  1 Zn 2.65, 2 Ag 2.87
I (0.5000, 0.6618, 0.4811)  1 Zn 2.66, 2 Ag 2.87
I (0.0000, 0.6442, 0.4908)  1 Zn 2.67, 2 Ag 2.86
I (0.2422, 0.1772, 0.5108)  1 Zn 2.65, 2 Ag 2.87
I (0.7578, 0.1772, 0.5108)  1 Zn 2.65, 2 Ag 2.87
I (0.0000, 0.3382, 0.9811)  1 Zn 2.66, 2 Ag 2.87
I (0.5000, 0.3558, 0.9908)  1 Zn 2.67, 2 Ag 2.86
Zn (0.5000, 0.6746, 0.1241)  4 I 2.65-2.67
Zn (0.0000, 0.3254, 0.6241)  4 I 2.65-2.67